The following is a DFT calculation (PBE) of a geometry-optimized Pm4BiC2 structure.

Cell and atoms, written as POSCAR:
```
Pm4BiC2
1.0
-2.5878 3.0052 -0.3029
-3.1325 -5.5471 -2.1604
-4.2431 -2.4099 12.3401
Pm Bi C
8 2 4
Direct
0.5000 0.0000 0.0000
0.5000 0.0000 0.5000
0.2379 0.4757 0.8979
0.2379 0.4757 0.6021
0.7621 0.5243 0.1021
0.0855 0.1710 0.2500
0.7621 0.5243 0.3979
0.9145 0.8290 0.7500
0.3935 0.7870 0.2500
0.6065 0.2130 0.7500
0.8618 0.7236 0.5577
0.1382 0.2764 0.0577
0.8618 0.7236 0.9423
0.1382 0.2764 0.4423
```

Summary:
Calculated volume: 24.23 A^3/atom
Uncorrected energy: -87.2 eV/cell
Space group: Cmcm
Formation energy from the elements: -0.33 eV/atom

The following is a DFT calculation (PBE) of a geometry-optimized Pm5Bi4C structure.

Cell and atoms, written as POSCAR:
```
Pm5Bi4C
1.0
-0.6258 2.4810 -5.8744
-6.9721 2.6692 -1.6244
1.5052 7.4739 -0.4982
Bi Pm C
4 5 1
Direct
0.8162 0.7697 0.6059
0.4221 0.3941 0.7697
0.1918 0.2303 0.3941
0.5859 0.6059 0.2303
0.0952 0.6548 0.1559
0.2510 0.8441 0.6548
0.9058 0.3452 0.8441
0.4374 0.0000 0.0000
0.7499 0.1559 0.3452
0.0549 0.0000 0.0000
```

Summary:
Calculated volume: 30.83 A^3/atom
Uncorrected energy: -54.9 eV/cell
Space group: I4
Formation energy from the elements: -0.64 eV/atom

Which formula does entry 1 have? Pm4BiC2